No. 1
Compound: LaTh5S6
Source: Alexandria
Functional: GGA-PBE
Structure: relaxed

Structure (CIF):
```
data_LaTh5S6
_chemical_formula_sum 'La2 Th10 S12'
_space_group_name_H-M_alt 'C 1 2/m 1'
_space_group_IT_number 12
_cell_length_a 7.042
_cell_length_b 12.142
_cell_length_c 7.034
_cell_angle_alpha 90.00
_cell_angle_beta 109.34
_cell_angle_gamma 90.00
loop_
_space_group_symop_operation_xyz
'x,y,z'
'-x,-y,-z'
'-x,y,-z'
'x,-y,z'
'x+1/2,y+1/2,z'
'-x+1/2,-y+1/2,-z'
'-x+1/2,y+1/2,-z'
'x+1/2,-y+1/2,z'
loop_
_atom_site_label
_atom_site_type_symbol
_atom_site_fract_x
_atom_site_fract_y
_atom_site_fract_z
La1 La 0.000 0.000 0.000
Th1 Th 0.000 0.165 0.500
Th2 Th 0.000 0.333 0.000
Th3 Th 0.000 0.500 0.500
S1 S 0.246 0.500 0.250
S2 S 0.247 0.332 0.748
```

Calculated values
**Uncorrected formation energy**: -1.894 eV per atom
**Mass density**: 8.73 g/cm3

***

No. 2
Compound: La4ThS6
Source: Alexandria
Functional: GGA-PBE
Structure: relaxed

Structure (CIF):
```
data_La4ThS6
_chemical_formula_sum 'La16 Th4 S24'
_space_group_name_H-M_alt 'C m c m'
_space_group_IT_number 63
_space_group_name_Hall '-C 2c 2'
_cell_length_a 4.032
_cell_length_b 13.693
_cell_length_c 20.488
_cell_angle_alpha 90.00
_cell_angle_beta 90.00
_cell_angle_gamma 90.00
loop_
_atom_site_label
_atom_site_type_symbol
_atom_site_fract_x
_atom_site_fract_y
_atom_site_fract_z
La1 La 0.000 0.087 0.130
La2 La 0.000 0.361 0.041
Th1 Th 0.000 0.154 0.750
S1 S 0.000 0.000 0.000
S2 S 0.000 0.201 0.250
S3 S 0.000 0.270 0.594
S4 S 0.000 0.444 0.172
```

Calculated values
**Uncorrected formation energy**: -2.071 eV per atom
**Mass density**: 5.76 g/cm3

***

No. 3
Compound: LaTh3S6
Source: Alexandria
Functional: GGA-PBE
Structure: relaxed

Structure (CIF):
```
data_LaTh3S6
_chemical_formula_sum 'La2 Th6 S12'
_space_group_name_H-M_alt 'P 1 21/m 1'
_space_group_IT_number 11
_cell_length_a 11.156
_cell_length_b 4.119
_cell_length_c 11.477
_cell_angle_alpha 90.00
_cell_angle_beta 104.88
_cell_angle_gamma 90.00
loop_
_space_group_symop_operation_xyz
'x,y,z'
'-x,-y,-z'
'-x,y+1/2,-z'
'x,-y+1/2,z'
loop_
_atom_site_label
_atom_site_type_symbol
_atom_site_fract_x
_atom_site_fract_y
_atom_site_fract_z
La1 La 0.045 0.250 0.194
Th1 Th 0.160 0.250 0.568
Th2 Th 0.311 0.750 0.990
Th3 Th 0.409 0.250 0.338
S1 S 0.079 0.750 0.395
S2 S 0.123 0.250 0.958
S3 S 0.201 0.750 0.739
S4 S 0.251 0.750 0.216
S5 S 0.415 0.250 0.588
S6 S 0.472 0.250 0.113
```

Calculated values
**Uncorrected formation energy**: -1.944 eV per atom
**Mass density**: 6.69 g/cm3